No. 1
## PrNdClO (PBE-GGA)

Data for an optimized crystal structure of PrNdClO.

Properties
crystal system: hexagonal
VASP energy: -6.086 eV/atom
total moment: 0.46 μB/f.u.

Cell: 3.6413 3.6413 14.2203 Å, 90.00 90.00 120.00°
Fractional coordinates of all 8 atoms:
Nd: 0.0000 0.0000 0.6529
Nd: 0.0000 0.0000 0.3471
O: 0.6667 0.3333 0.7466
O: 0.6667 0.3333 0.2534
Pr: 0.3333 0.6667 0.8460
Pr: 0.3333 0.6667 0.1540
Cl: 0.3333 0.6667 0.5000
Cl: 0.0000 0.0000 0.0000

***

No. 2
## Nd5Re2Cl3O10 (PBE-GGA)

Data for an optimized crystal structure of Nd5Re2Cl3O10.

Properties
crystal system: monoclinic
VASP energy: -7.565 eV/atom
total moment: 6.00 μB/f.u.

Cell: 6.8441 6.8441 9.7699 Å, 91.11 91.11 49.19°
Fractional coordinates of all 20 atoms:
O: 0.2341 0.2341 0.6647
O: 0.1038 0.5981 0.9302
O: 0.4019 0.8962 0.0698
O: 0.8962 0.4019 0.0698
O: 0.8182 0.2967 0.7961
O: 0.2967 0.8182 0.7961
O: 0.5981 0.1038 0.9302
O: 0.1818 0.7033 0.2039
O: 0.7659 0.7659 0.3353
O: 0.7033 0.1818 0.2039
Nd: 0.5966 0.5966 0.2427
Nd: 0.4034 0.4034 0.7573
Nd: 0.0000 0.0000 0.0000
Nd: 0.7020 0.7020 0.8954
Nd: 0.2980 0.2980 0.1046
Cl: 0.8797 0.8797 0.6095
Cl: 0.5000 0.5000 0.5000
Cl: 0.1203 0.1203 0.3905
Re: 0.0864 0.0864 0.6605
Re: 0.9136 0.9136 0.3395

***

No. 3
## NdSeClO3 (PBE-GGA)

Data for an optimized crystal structure of NdSeClO3.

Properties
crystal system: orthorhombic
VASP energy: -6.137 eV/atom
total moment: 0.00 μB/f.u.

Cell: 11.0908 5.3595 13.4996 Å, 90.00 90.00 90.00°
Fractional coordinates of all 48 atoms:
Nd: 0.9309 0.2500 0.3560
Nd: 0.9286 0.7500 0.8998
Nd: 0.4286 0.7500 0.6002
Nd: 0.4309 0.2500 0.1440
Nd: 0.0714 0.2500 0.1002
Nd: 0.5691 0.7500 0.8560
Nd: 0.5714 0.2500 0.3998
Nd: 0.0691 0.7500 0.6440
O: 0.2422 0.0042 0.6112
O: 0.0844 0.7500 0.0264
O: 0.7422 0.4958 0.8888
O: 0.9442 0.9981 0.2084
O: 0.2422 0.4958 0.6112
O: 0.4442 0.5019 0.2916
O: 0.4156 0.2500 0.5264
O: 0.7578 0.9958 0.3888
O: 0.0558 0.4981 0.7916
O: 0.7578 0.5042 0.3888
O: 0.7422 0.0042 0.8888
O: 0.2578 0.9958 0.1112
O: 0.8366 0.7500 0.0601
O: 0.2578 0.5042 0.1112
O: 0.5844 0.7500 0.4736
O: 0.6634 0.2500 0.5601
O: 0.3366 0.7500 0.4399
O: 0.1634 0.2500 0.9399
O: 0.9442 0.5019 0.2084
O: 0.4442 0.9981 0.2916
O: 0.5558 0.0019 0.7084
O: 0.9156 0.2500 0.9736
O: 0.5558 0.4981 0.7084
O: 0.0558 0.0019 0.7916
Se: 0.7421 0.7500 0.4710
Se: 0.6549 0.2500 0.6855
Se: 0.1549 0.2500 0.8145
Se: 0.7579 0.2500 0.9710
Se: 0.3451 0.7500 0.3145
Se: 0.2579 0.2500 0.5290
Se: 0.8451 0.7500 0.1855
Se: 0.2421 0.7500 0.0290
Cl: 0.8277 0.7500 0.6991
Cl: 0.3277 0.7500 0.8009
Cl: 0.1723 0.2500 0.3009
Cl: 0.4792 0.2500 0.9306
Cl: 0.5208 0.7500 0.0694
Cl: 0.0208 0.7500 0.4306
Cl: 0.9792 0.2500 0.5694
Cl: 0.6723 0.2500 0.1991

***

No. 4
## Nd5Sn2Cl3O10 (PBE-GGA)

Data for an optimized crystal structure of Nd5Sn2Cl3O10.

Properties
crystal system: monoclinic
VASP energy: -6.892 eV/atom
total moment: 0.00 μB/f.u.

Cell: 6.8276 6.8276 10.0647 Å, 91.63 91.63 50.38°
Fractional coordinates of all 20 atoms:
Nd: 0.6997 0.6997 0.4054
Nd: 0.0000 0.0000 0.5000
Nd: 0.3003 0.3003 0.5946
Nd: 0.5949 0.5949 0.7416
Nd: 0.4051 0.4051 0.2584
Cl: 0.1054 0.1054 0.8964
Cl: 0.5000 0.5000 0.0000
Cl: 0.8946 0.8946 0.1036
O: 0.8966 0.4018 0.5749
O: 0.6896 0.1879 0.6955
O: 0.1034 0.5982 0.4251
O: 0.1879 0.6896 0.6955
O: 0.2445 0.2445 0.1508
O: 0.8121 0.3104 0.3045
O: 0.7555 0.7555 0.8492
O: 0.3104 0.8121 0.3045
O: 0.4018 0.8966 0.5749
O: 0.5982 0.1034 0.4251
Sn: 0.0921 0.0921 0.1749
Sn: 0.9079 0.9079 0.8251

***

No. 5
## Nd5Ta2Cl3O10 (PBE-GGA)

Data for an optimized crystal structure of Nd5Ta2Cl3O10.

Properties
crystal system: monoclinic
VASP energy: -8.041 eV/atom
total moment: 0.02 μB/f.u.

Cell: 6.8621 6.8621 9.7667 Å, 99.23 99.23 49.16°
Fractional coordinates of all 20 atoms:
Nd: 0.6293 0.6293 0.7454
Nd: 0.6923 0.6923 0.3886
Nd: 0.0000 0.0000 0.5000
Nd: 0.3077 0.3077 0.6114
Nd: 0.3707 0.3707 0.2546
O: 0.8988 0.4112 0.5640
O: 0.8129 0.8129 0.8333
O: 0.2761 0.7796 0.2867
O: 0.7796 0.2761 0.2867
O: 0.2204 0.7239 0.7133
O: 0.1871 0.1871 0.1667
O: 0.7239 0.2204 0.7133
O: 0.4112 0.8988 0.5640
O: 0.1012 0.5888 0.4360
O: 0.5888 0.1012 0.4360
Cl: 0.8134 0.8134 0.1399
Cl: 0.1866 0.1866 0.8601
Cl: 0.5000 0.5000 0.0000
Ta: 0.0419 0.0419 0.1611
Ta: 0.9581 0.9581 0.8389

***

No. 6
## NdYCl2O2 (PBE-GGA)

Data for an optimized crystal structure of NdYCl2O2.

Properties
crystal system: tetragonal
VASP energy: -7.169 eV/atom
total moment: 0.00 μB/f.u.

Cell: 3.9732 3.9732 6.7610 Å, 90.00 90.00 90.00°
Fractional coordinates of all 6 atoms:
Cl: 0.0000 0.0000 0.6280
Cl: 0.5000 0.5000 0.3737
Nd: 0.0000 0.0000 0.1761
O: 0.5000 0.0000 0.9940
O: 0.0000 0.5000 0.9940
Y: 0.5000 0.5000 0.8343

***

No. 7
## Nd4OsCl5 (PBE-GGA)

Data for an optimized crystal structure of Nd4OsCl5.

Properties
crystal system: monoclinic
VASP energy: -5.524 eV/atom
total moment: 0.78 μB/f.u.

Cell: 9.3563 9.3563 8.7294 Å, 106.00 106.00 25.35°
Fractional coordinates of all 10 atoms:
Cl: 0.8294 0.8294 0.1305
Cl: 0.1706 0.1706 0.8695
Cl: 0.1682 0.1682 0.3289
Cl: 0.5000 0.5000 0.5000
Cl: 0.8318 0.8318 0.6711
Nd: 0.6520 0.6520 0.0942
Nd: 0.9986 0.9986 0.7684
Nd: 0.0014 0.0014 0.2316
Nd: 0.3480 0.3480 0.9058
Os: 0.5000 0.5000 0.0000

***

No. 8
## Pr3NdP2Cl2 (PBE-GGA)

Data for an optimized crystal structure of Pr3NdP2Cl2.

Properties
crystal system: trigonal
VASP energy: -5.814 eV/atom
total moment: 0.01 μB/f.u.

Cell: 4.0977 4.0977 14.4459 Å, 90.00 90.00 120.00°
Fractional coordinates of all 8 atoms:
P: 0.6667 0.3333 0.9980
P: 0.6667 0.3333 0.5002
Pr: 0.0000 0.0000 0.6071
Pr: 0.3333 0.6667 0.1056
Pr: 0.3333 0.6667 0.3934
Cl: 0.3333 0.6667 0.7522
Cl: 0.0000 0.0000 0.2495
Nd: 0.0000 0.0000 0.8941

***

No. 9
## PrNdPCl (PBE-GGA)

Data for an optimized crystal structure of PrNdPCl.

Properties
crystal system: trigonal
VASP energy: -5.812 eV/atom
total moment: 0.00 μB/f.u.

Cell: 4.0908 4.0908 14.4068 Å, 90.00 90.00 120.00°
Fractional coordinates of all 8 atoms:
P: 0.0000 0.0000 0.0000
P: 0.0000 0.0000 0.5000
Nd: 0.6667 0.3333 0.3950
Nd: 0.3333 0.6667 0.6050
Pr: 0.6667 0.3333 0.1074
Pr: 0.3333 0.6667 0.8926
Cl: 0.6667 0.3333 0.7470
Cl: 0.3333 0.6667 0.2530

***

No. 10
## PrNdPCl (PBE-GGA)

Data for an optimized crystal structure of PrNdPCl.

Properties
crystal system: hexagonal
VASP energy: -5.812 eV/atom
total moment: 0.00 μB/f.u.

Cell: 4.0911 4.0911 14.3892 Å, 90.00 90.00 120.00°
Fractional coordinates of all 8 atoms:
Cl: 0.0000 0.0000 0.0000
Cl: 0.3333 0.6667 0.5000
Nd: 0.0000 0.0000 0.3568
Nd: 0.0000 0.0000 0.6432
P: 0.6667 0.3333 0.2523
P: 0.6667 0.3333 0.7477
Pr: 0.3333 0.6667 0.1443
Pr: 0.3333 0.6667 0.8557

***

No. 11
## TbNdPCl2 (PBE-GGA)

Data for an optimized crystal structure of TbNdPCl2.

Properties
crystal system: trigonal
VASP energy: -5.656 eV/atom
total moment: 0.01 μB/f.u.

Cell: 4.0263 4.0263 10.3391 Å, 90.00 90.00 120.00°
Fractional coordinates of all 5 atoms:
Cl: 0.3333 0.6667 0.6817
Cl: 0.6667 0.3333 0.3097
Tb: 0.3333 0.6667 0.1535
P: 0.0000 0.0000 0.0076
Nd: 0.6667 0.3333 0.8475

***

No. 12
## PmNdSe2Cl2 (PBE-GGA)

Data for an optimized crystal structure of PmNdSe2Cl2.

Properties
crystal system: tetragonal
VASP energy: -5.311 eV/atom
total moment: 0.00 μB/f.u.

Cell: 5.2123 5.2123 6.7274 Å, 90.00 90.00 90.00°
Fractional coordinates of all 6 atoms:
Pm: 0.5000 0.5000 0.1962
Se: 0.5000 0.0000 0.0020
Se: 0.0000 0.5000 0.0020
Nd: 0.0000 0.0000 0.8029
Cl: 0.0000 0.0000 0.4095
Cl: 0.5000 0.5000 0.5873

***

No. 13
## PrNdCl6 (PBE-GGA)

Data for an optimized crystal structure of PrNdCl6.

Properties
relative energy among the computed polymorphs: 16 meV/atom
crystal system: orthorhombic
VASP energy: -4.856 eV/atom
total moment: 0.00 μB/f.u.

Cell: 8.6965 6.5572 6.5572 Å, 35.72 90.00 90.00°
Fractional coordinates of all 8 atoms:
Cl: 0.3148 0.8488 0.8488
Cl: 0.5000 0.5886 0.5886
Cl: 0.6852 0.8488 0.8488
Cl: 0.8168 0.1518 0.1518
Cl: 0.1832 0.1518 0.1518
Cl: 0.0000 0.4097 0.4097
Pr: 0.5000 0.2421 0.2421
Nd: 0.0000 0.7583 0.7583

***

No. 14
## PrNdCl3 (PBE-GGA)

Data for an optimized crystal structure of PrNdCl3.

Properties
crystal system: monoclinic
VASP energy: -4.859 eV/atom
total moment: 0.00 μB/f.u.

Cell: 8.1423 8.1423 10.5363 Å, 117.18 117.18 28.69°
Fractional coordinates of all 10 atoms:
Cl: 0.9542 0.9542 0.7634
Cl: 0.0458 0.0458 0.2366
Cl: 0.2291 0.2291 0.6181
Cl: 0.6574 0.6574 0.0066
Cl: 0.3426 0.3426 0.9934
Cl: 0.7709 0.7709 0.3819
Pr: 0.8594 0.8594 0.2056
Pr: 0.1406 0.1406 0.7944
Nd: 0.4092 0.4092 0.5527
Nd: 0.5908 0.5908 0.4473

***

No. 15
## PrNdCl6 (PBE-GGA)

Data for an optimized crystal structure of PrNdCl6.

Properties
relative energy among the computed polymorphs: 0 meV/atom
crystal system: hexagonal
VASP energy: -4.871 eV/atom
total moment: 0.00 μB/f.u.

Cell: 7.4965 7.4965 4.2949 Å, 90.00 90.00 120.00°
Fractional coordinates of all 8 atoms:
Cl: 0.9704 0.2464 0.5000
Cl: 0.5811 0.9437 0.0000
Cl: 0.2761 0.0296 0.5000
Cl: 0.7536 0.7239 0.5000
Cl: 0.3625 0.4189 0.0000
Cl: 0.0563 0.6375 0.0000
Pr: 0.3333 0.6667 0.5000
Nd: 0.0000 0.0000 0.0000

***

No. 16
## PrNdSbCl2 (PBE-GGA)

Data for an optimized crystal structure of PrNdSbCl2.

Properties
crystal system: trigonal
VASP energy: -5.169 eV/atom
total moment: 0.01 μB/f.u.

Cell: 4.3312 4.3312 10.8130 Å, 90.00 90.00 120.00°
Fractional coordinates of all 5 atoms:
Nd: 0.0000 0.0000 0.8302
Cl: 0.3333 0.6667 0.6864
Cl: 0.0000 0.0000 0.3152
Pr: 0.3333 0.6667 0.1697
Sb: 0.6667 0.3333 0.9984

***

No. 17
## PrNdSnCl2 (PBE-GGA)

Data for an optimized crystal structure of PrNdSnCl2.

Properties
crystal system: trigonal
VASP energy: -4.974 eV/atom
total moment: 0.00 μB/f.u.

Cell: 4.3855 4.3855 9.4968 Å, 90.00 90.00 120.00°
Fractional coordinates of all 5 atoms:
Nd: 0.6667 0.3333 0.3034
Cl: 0.6667 0.3333 0.8538
Cl: 0.3333 0.6667 0.1483
Sn: 0.0000 0.0000 0.4984
Pr: 0.3333 0.6667 0.6961

***

No. 18
## NdPuCl6 (PBE-GGA)

Data for an optimized crystal structure of NdPuCl6.

Properties
crystal system: hexagonal
VASP energy: -5.857 eV/atom
total moment: 5.00 μB/f.u.

Cell: 7.4304 7.4304 4.2412 Å, 90.00 90.00 120.00°
Fractional coordinates of all 8 atoms:
Cl: 0.2783 0.0291 0.5000
Cl: 0.0573 0.6364 0.0000
Cl: 0.9709 0.2492 0.5000
Cl: 0.5791 0.9427 0.0000
Cl: 0.7508 0.7217 0.5000
Cl: 0.3636 0.4209 0.0000
Pu: 0.3333 0.6667 0.5000
Nd: 0.0000 0.0000 0.0000

***

No. 19
## Nd3S2Cl5 (PBE-GGA)

Data for an optimized crystal structure of Nd3S2Cl5.

Properties
crystal system: monoclinic
VASP energy: -5.394 eV/atom
total moment: 0.00 μB/f.u.

Cell: 21.9626 6.6015 7.0685 Å, 90.00 97.79 90.00°
Fractional coordinates of all 40 atoms:
Cl: 0.9813 0.8200 0.1579
Cl: 0.0187 0.1800 0.8421
Cl: 0.2455 0.6380 0.7749
Cl: 0.4879 0.2280 0.6029
Cl: 0.9813 0.6800 0.6579
Cl: 0.7545 0.1380 0.7251
Cl: 0.6261 0.1697 0.3816
Cl: 0.7545 0.3620 0.2251
Cl: 0.5121 0.7720 0.3971
Cl: 0.1192 0.8467 0.5214
Cl: 0.6261 0.3303 0.8817
Cl: 0.0187 0.3200 0.3421
Cl: 0.1192 0.6533 0.0214
Cl: 0.4879 0.2720 0.1029
Cl: 0.3739 0.6697 0.1184
Cl: 0.8808 0.1533 0.4786
Cl: 0.2455 0.8620 0.2749
Cl: 0.3739 0.8303 0.6184
Cl: 0.5121 0.7280 0.8971
Cl: 0.8808 0.3467 0.9786
S: 0.6682 0.8100 0.0331
S: 0.3318 0.1900 0.9669
S: 0.1738 0.3104 0.4023
S: 0.6682 0.6900 0.5331
S: 0.1738 0.1896 0.9023
S: 0.8262 0.6896 0.5977
S: 0.3318 0.3100 0.4669
S: 0.8262 0.8104 0.0977
Nd: 0.7490 0.9561 0.3571
Nd: 0.5960 0.5451 0.2057
Nd: 0.0997 0.0439 0.1630
Nd: 0.0997 0.4561 0.6630
Nd: 0.9003 0.5439 0.3370
Nd: 0.2510 0.0439 0.6429
Nd: 0.4040 0.0451 0.2943
Nd: 0.7490 0.5439 0.8571
Nd: 0.4040 0.4549 0.7943
Nd: 0.2510 0.4561 0.1429
Nd: 0.9003 0.9561 0.8370
Nd: 0.5960 0.9549 0.7057